NaPr2Er | GGA-PBE | optimized geometry

Output
Calculated formation energy = 0.4 eV per formula unit
Polymorph energy (0 for the lowest one) = 0.0 meV per atom

Cell lengths 3.559, 3.559, 11.005 Å; angles 90.00, 90.00, 90.00 degrees
Space group P4/mmm (No. 123)
One atom of each set of equivalent atoms:
Na1 0.000 0.000 0.000
Pr1 0.500 0.500 0.268
Er1 0.000 0.000 0.500


K5Rb3Br12 | GGA-PBE | optimized geometry

Output
Formation energy (no corrections) = -114 kJ per mole of atoms

Cell lengths 19.630, 19.630, 19.630 Å; angles 90.00, 90.00, 90.00 degrees
Space group Ia-3d (No. 230)
One atom of each set of equivalent atoms:
K1 0.000 0.000 0.000
K2 0.000 0.250 0.375
Rb1 0.000 0.250 0.125
Br1 0.014 0.079 0.663


BaAl2HN | GGA-PBE | optimized geometry

Output
E_tot = -2.1542 eV/atom

Cell lengths 6.219, 6.219, 4.407 Å; angles 90.00, 90.00, 90.00 degrees
Space group P4/mmm (No. 123)
One atom of each set of equivalent atoms:
Ba1 0.000 0.000 0.000
Al1 0.000 0.500 0.000
H1 0.000 0.000 0.500
N1 0.500 0.500 0.500


Ca2ZnBi | GGA-PBE | optimized geometry

Output
Calculated formation energy = -2.2 eV per formula unit
Polymorph energy (0 for the lowest one) = 0.0 meV per atom

Cell lengths 5.132, 5.132, 4.295 Å; angles 90.00, 90.00, 90.00 degrees
Space group P4/mmm (No. 123)
One atom of each set of equivalent atoms:
Ca1 0.000 0.500 0.000
Zn1 0.000 0.000 0.500
Bi1 0.500 0.500 0.500


Ce2HgH | GGA-PBE | optimized geometry

Output
Polymorph energy (0 for the lowest one) = 62.2 meV per atom

Cell lengths 3.4447, 3.4447, 25.0192 Å; angles 90.00, 90.00, 120.00 degrees
Space group R3m (No. 160, hexagonal axes)
One atom of each set of equivalent atoms:
Ce1 0.0000 0.0000 0.0000
Ce2 0.0000 0.0000 0.2122
Hg1 0.0000 0.0000 0.7734
H1 0.0000 0.0000 0.6070


AcTbPrPu | GGA-PBE | optimized geometry

Output
Calculated formation energy = 1.1 eV per formula unit

Cell lengths 8.278, 8.278, 8.278 Å; angles 90.00, 90.00, 90.00 degrees
Space group F-43m (No. 216)
One atom of each set of equivalent atoms:
Ac1 0.000 0.000 0.000
Tb1 0.250 0.250 0.250
Pr1 0.250 0.250 0.750
Pu1 0.000 0.000 0.500


La2HfSiPb | GGA-PBE | optimized geometry

Output
Formation energy (no corrections) = 34 kJ per mole of atoms

Cell lengths 5.681, 5.681, 5.091 Å; angles 90.00, 90.00, 90.00 degrees
Space group P4/mmm (No. 123)
One atom of each set of equivalent atoms:
La1 0.000 0.500 0.000
Hf1 0.000 0.000 0.000
Si1 0.000 0.000 0.500
Pb1 0.500 0.500 0.500


CrBr3 | GGA-PBE | optimized geometry

Output
Formation energy (no corrections) = 39 kJ per mole of atoms

Cell lengths 5.159, 5.159, 3.731 Å; angles 90.00, 90.00, 90.00 degrees
Space group P4/mmm (No. 123)
One atom of each set of equivalent atoms:
Cr1 0.000 0.000 0.000
Br1 0.000 0.500 0.500
Br2 0.500 0.500 0.000